Entry 1:
VASP calculation (PBE) on a relaxed CuH6BrN2 crystal.

Cell: 7.1958 7.1958 5.5076 Å, 111.60 111.60 99.88°
Positions (direct):
Cu 0.0816 0.9184 0.7500
Cu 0.9184 0.0816 0.2500
H 0.1631 0.4270 0.7013
H 0.1722 0.4354 0.4090
H 0.3052 0.3109 0.5641
H 0.3109 0.3052 0.0641
H 0.4270 0.1631 0.2013
H 0.4354 0.1722 0.9090
H 0.5646 0.8278 0.0910
H 0.5730 0.8369 0.7987
H 0.6891 0.6948 0.9359
H 0.6948 0.6891 0.4359
H 0.8278 0.5646 0.5910
H 0.8369 0.5730 0.2987
Br 0.3142 0.6858 0.2500
Br 0.6858 0.3142 0.7500
N 0.1616 0.3366 0.5043
N 0.3366 0.1616 0.0043
N 0.6634 0.8384 0.9957
N 0.8384 0.6634 0.4957

Computed properties:
**Energy above the lowest structure with this stoichiometry**: 0.0137 eV per atom
**Size of the total moment**: 0.000 μB/f.u.
**Space group**: C2/c
**Density of states at the Fermi level**: 0.00 states/eV/atom

=====

Entry 2:
VASP calculation (PBE) on a relaxed PmTe2Au2 crystal.

Cell: 5.5292 5.5292 5.8274 Å, 95.15 95.15 59.05°
Positions (direct):
Pm 0.0000 0.0000 0.0000
Te 0.3304 0.3304 0.1634
Te 0.6696 0.6696 0.8366
Au 0.2437 0.7563 0.5000
Au 0.7563 0.2437 0.5000

Computed properties:
**Size of the total moment**: 0.000 μB/f.u.
**Space group**: C2/m
**ΔE_f (raw)**: -565.5 meV/atom
**Density of states at the Fermi level**: 0.31 states/eV/atom

=====

Entry 3:
VASP calculation (PBE) on a relaxed NaTl2Pb2 crystal.

Cell: 9.1764 9.1764 3.8689 Å, 90.00 90.00 90.00°
Positions (direct):
Na 0.0000 0.0000 0.0000
Na 0.5000 0.5000 0.0000
Tl 0.1672 0.3328 0.5000
Tl 0.3328 0.8328 0.5000
Tl 0.6672 0.1672 0.5000
Tl 0.8328 0.6672 0.5000
Pb 0.1307 0.6307 0.0000
Pb 0.3693 0.1307 0.0000
Pb 0.6307 0.8693 0.0000
Pb 0.8693 0.3693 0.0000

Computed properties:
**Energy above the lowest structure with this stoichiometry**: 0.0866 eV per atom
**ΔH_f (0 K)**: 0.003 eV per atom
**Size of the total moment**: 0.000 μB/f.u.
**Space group**: P4/mbm
**Density of states at the Fermi level**: 0.51 states/eV/atom

=====

Entry 4:
VASP calculation (PBE) on a relaxed Zn3InO crystal.

Cell: 5.0668 5.0668 5.0668 Å, 90.00 90.00 90.00°
Positions (direct):
Zn 0.0000 0.0000 0.5000
Zn 0.0000 0.5000 0.0000
Zn 0.5000 0.0000 0.0000
In 0.0000 0.0000 0.0000
O 0.5000 0.5000 0.5000

Computed properties:
**Energy above the lowest structure with this stoichiometry**: 0.9204 eV per atom
**Size of the total moment**: 0.000 μB/f.u.
**Space group**: Pm-3m
**ΔE_f (raw)**: 813.1 meV/atom
**Density of states at the Fermi level**: 2.48 states/eV/atom